NiTeRu2Pt | the Alexandria database | PBE-GGA | relaxed; DFT total energy = -5.30 eV/atom; ΔE_f (raw) = 1401 meV/atom
1.0
-4.5421 -1.3063 0.6597
0.9677 -4.1807 -1.6152
1.0617 -1.4608 4.4171
Te Pt Ni Ru
1 1 1 2
Direct
0.5000 0.5000 0.5000
0.0000 0.0000 0.0000
0.0000 0.5000 0.0000
0.0000 0.0000 0.5000
0.5000 0.0000 0.0000